Entry 1:
Tb4Nd3Dy3 after structural relaxation. Source: the Alexandria database, functional PBE.

Results
ΔE_f ... 0.10 eV per atom
Symmetry ... No. 38

a = 3.7133 Å, b = 9.4755 Å, c = 9.4755 Å
α = 90.30°, β = 90.00°, γ = 90.00°
Last column: nearest neighbours and their distance in Å.
Atoms (fractional coordinates):
Tb: 0.0000 0.6261 0.3739  6 Nd 3.28-3.42, 1 Tb 3.41
Tb: 0.0000 0.3726 0.6274  2 Dy 3.25, 1 Tb 3.41, 4 Nd 3.42
Tb: 0.0000 0.8771 0.8723  4 Nd 3.27-3.43, 1 Tb 3.35, 2 Dy 3.40
Tb: 0.0000 0.1277 0.1229  4 Nd 3.27-3.43, 1 Tb 3.35, 2 Dy 3.40
Nd: 0.5000 0.8273 0.1727  6 Tb 3.28-3.43
Nd: 0.5000 0.3258 0.3271  6 Tb 3.27-3.42
Nd: 0.5000 0.6729 0.6742  6 Tb 3.27-3.42
Dy: 0.0000 0.4953 0.9982  4 Tb 3.68-3.82, 4 Dy 3.71-3.92, 6 Nd 3.97-4.00
Dy: 0.0000 0.0018 0.5047  4 Tb 3.68-3.82, 4 Dy 3.71-3.92, 6 Nd 3.97-4.00
Dy: 0.5000 0.1736 0.8264  6 Tb 3.25-3.40

=====

Entry 2:
TbNd15Dy4 after structural relaxation. Source: the Alexandria database, functional PBE.

Results
ΔE_f ... 0.01 eV per atom
Symmetry ... No. 123

a = 5.1656 Å, b = 5.1656 Å, c = 25.7023 Å
α = 90.00°, β = 90.00°, γ = 90.00°
Last column: nearest neighbours and their distance in Å.
Atoms (fractional coordinates):
Tb: 0.0000 0.0000 0.0000  12 Nd 3.65
Nd: 0.5000 0.5000 0.0000  8 Nd 3.65, 4 Tb 3.65
Nd: 0.5000 0.5000 0.2002  8 Nd 3.64, 4 Dy 3.65
Nd: 0.5000 0.5000 0.4000  8 Nd 3.64, 4 Dy 3.65
Nd: 0.5000 0.5000 0.6000  8 Nd 3.64, 4 Dy 3.65
Nd: 0.5000 0.5000 0.7998  8 Nd 3.64, 4 Dy 3.65
Nd: 0.5000 0.0000 0.1002  2 Dy 3.64, 8 Nd 3.64-3.65, 2 Tb 3.65
Nd: 0.5000 0.0000 0.3001  8 Nd 3.64-3.65, 4 Dy 3.64
Nd: 0.5000 0.0000 0.5000  4 Dy 3.64, 8 Nd 3.64-3.65
Nd: 0.5000 0.0000 0.6999  8 Nd 3.64-3.65, 4 Dy 3.64
Nd: 0.5000 0.0000 0.8998  2 Dy 3.64, 8 Nd 3.64-3.65, 2 Tb 3.65
Nd: 0.0000 0.5000 0.1002  2 Dy 3.64, 8 Nd 3.64-3.65, 2 Tb 3.65
Nd: 0.0000 0.5000 0.3001  8 Nd 3.64-3.65, 4 Dy 3.64
Nd: 0.0000 0.5000 0.5000  4 Dy 3.64, 8 Nd 3.64-3.65
Nd: 0.0000 0.5000 0.6999  8 Nd 3.64-3.65, 4 Dy 3.64
Nd: 0.0000 0.5000 0.8998  2 Dy 3.64, 8 Nd 3.64-3.65, 2 Tb 3.65
Dy: 0.0000 0.0000 0.2002  12 Nd 3.64-3.65
Dy: 0.0000 0.0000 0.4000  12 Nd 3.64-3.65
Dy: 0.0000 0.0000 0.6000  12 Nd 3.64-3.65
Dy: 0.0000 0.0000 0.7998  12 Nd 3.64-3.65

=====

Entry 3:
TbNd2Dy after structural relaxation. Source: the Alexandria database, functional PBE.

Results
ΔE_f ... 0.02 eV per atom
Polymorph energy (0 for the lowest one) ... 7 meV/atom
Symmetry ... No. 123

a = 5.0803 Å, b = 5.1268 Å, c = 5.1268 Å
α = 90.00°, β = 90.00°, γ = 90.00°
Last column: nearest neighbours and their distance in Å.
Atoms (fractional coordinates):
Nd: 0.0000 0.0000 0.5000  4 Dy 3.61, 4 Tb 3.61, 4 Nd 3.63
Nd: 0.0000 0.5000 0.0000  4 Tb 3.61, 4 Dy 3.61, 4 Nd 3.63
Tb: 0.5000 0.0000 0.0000  8 Nd 3.61, 4 Dy 3.63
Dy: 0.5000 0.5000 0.5000  8 Nd 3.61, 4 Tb 3.63

=====

Entry 4:
Tb8NdDy5 after structural relaxation. Source: the Alexandria database, functional PBE.

Results
ΔE_f ... 0.25 eV per atom
Symmetry ... No. 82

a = 8.4499 Å, b = 8.4499 Å, c = 8.4499 Å
α = 111.55°, β = 105.38°, γ = 111.55°
Last column: nearest neighbours and their distance in Å.
Atoms (fractional coordinates):
Tb: 0.1658 0.7386 0.0788  4 Dy 3.14-3.48, 1 Nd 3.21
Tb: 0.9212 0.0871 0.6598  4 Dy 3.14-3.48, 1 Nd 3.21
Tb: 0.7212 0.2524 0.3270  5 Dy 3.32-3.52, 3 Tb 3.56-3.62
Tb: 0.6730 0.3942 0.9254  5 Dy 3.32-3.52, 3 Tb 3.56-3.62
Tb: 0.5312 0.6058 0.2788  5 Dy 3.32-3.52, 3 Tb 3.56-3.62
Tb: 0.5728 0.9129 0.8342  4 Dy 3.14-3.48, 1 Nd 3.21
Tb: 0.3402 0.2614 0.4272  4 Dy 3.14-3.48, 1 Nd 3.21
Tb: 0.0746 0.7476 0.4688  5 Dy 3.32-3.52, 3 Tb 3.56-3.62
Nd: 0.2500 0.5000 0.7500  4 Tb 3.21
Dy: 0.0387 0.3206 0.1359  8 Tb 3.36-3.55, 2 Dy 3.52
Dy: 0.8641 0.9028 0.1847  8 Tb 3.36-3.55, 2 Dy 3.52
Dy: 0.8153 0.6794 0.7182  8 Tb 3.36-3.55, 2 Dy 3.52
Dy: 0.5000 0.0000 0.5000  8 Tb 3.14-3.32
Dy: 0.2818 0.0972 0.9613  8 Tb 3.36-3.55, 2 Dy 3.52

=====

Entry 5:
Tb6NdDy12 after structural relaxation. Source: the Alexandria database, functional PBE.

Results
ΔE_f ... 0.44 eV per atom
Polymorph energy (0 for the lowest one) ... 284 meV/atom
Symmetry ... No. 166

a = 9.3658 Å, b = 9.3658 Å, c = 9.3658 Å
α = 108.59°, β = 108.59°, γ = 108.59°
Last column: nearest neighbours and their distance in Å.
Atoms (fractional coordinates):
Tb: 0.6781 0.2442 0.6781  3 Dy 2.98-3.28
Tb: 0.6781 0.6781 0.2442  3 Dy 2.98-3.28
Tb: 0.2442 0.6781 0.6781  3 Dy 2.98-3.28
Tb: 0.3219 0.3219 0.7558  3 Dy 2.98-3.28
Tb: 0.3219 0.7558 0.3219  3 Dy 2.98-3.28
Tb: 0.7558 0.3219 0.3219  3 Dy 2.98-3.28
Nd: 0.0000 0.0000 0.0000  6 Dy 3.50
Dy: 0.8914 0.1086 0.5000  4 Tb 3.28-3.41, 3 Dy 3.30-3.60
Dy: 0.3742 0.1644 0.3742  1 Tb 2.98, 2 Dy 3.19
Dy: 0.3742 0.3742 0.1644  1 Tb 2.98, 2 Dy 3.19
Dy: 0.8356 0.6258 0.6258  1 Tb 2.98, 2 Dy 3.19
Dy: 0.6258 0.6258 0.8356  1 Tb 2.98, 2 Dy 3.19
Dy: 0.6258 0.8356 0.6258  1 Tb 2.98, 2 Dy 3.19
Dy: 0.5000 0.8914 0.1086  4 Tb 3.28-3.41, 3 Dy 3.30-3.60
Dy: 0.1086 0.5000 0.8914  4 Tb 3.28-3.41, 3 Dy 3.30-3.60
Dy: 0.1086 0.8914 0.5000  4 Tb 3.28-3.41, 3 Dy 3.30-3.60
Dy: 0.5000 0.1086 0.8914  4 Tb 3.28-3.41, 3 Dy 3.30-3.60
Dy: 0.8914 0.5000 0.1086  4 Tb 3.28-3.41, 3 Dy 3.30-3.60
Dy: 0.1644 0.3742 0.3742  1 Tb 2.98, 2 Dy 3.19

=====

Entry 6:
TbNd5Dy6 after structural relaxation. Source: the Alexandria database, functional PBE.

Results
ΔE_f ... 0.02 eV per atom
Polymorph energy (0 for the lowest one) ... 4 meV/atom
Symmetry ... No. 71

a = 5.1025 Å, b = 10.1453 Å, c = 9.5249 Å
α = 122.16°, β = 105.51°, γ = 90.02°
Last column: nearest neighbours and their distance in Å.
Atoms (fractional coordinates):
Nd: 0.6656 0.1657 0.3313  8 Dy 3.57-3.62, 2 Tb 3.60, 2 Nd 3.62
Nd: 0.3334 0.3334 0.6668  8 Dy 3.60-3.61, 4 Nd 3.61-3.62
Nd: 0.0000 0.5000 0.0000  8 Dy 3.60-3.61, 4 Nd 3.61
Nd: 0.6666 0.6666 0.3332  8 Dy 3.60-3.61, 4 Nd 3.61-3.62
Nd: 0.3344 0.8343 0.6687  8 Dy 3.57-3.62, 2 Tb 3.60, 2 Nd 3.62
Tb: 0.0000 0.0000 0.0000  8 Dy 3.59, 4 Nd 3.60
Dy: 0.8337 0.5845 0.6674  1 Tb 3.59, 7 Nd 3.59-3.62, 4 Dy 3.60-3.62
Dy: 0.8337 0.0829 0.6674  1 Tb 3.59, 7 Nd 3.59-3.62, 4 Dy 3.60-3.62
Dy: 0.5000 0.7515 0.0000  6 Nd 3.57-3.61, 2 Tb 3.59, 4 Dy 3.60
Dy: 0.5000 0.2485 0.0000  6 Nd 3.57-3.61, 2 Tb 3.59, 4 Dy 3.60
Dy: 0.1663 0.9171 0.3326  1 Tb 3.59, 7 Nd 3.59-3.62, 4 Dy 3.60-3.62
Dy: 0.1663 0.4155 0.3326  1 Tb 3.59, 7 Nd 3.59-3.62, 4 Dy 3.60-3.62